Entry 1:
Computed, not measured: Ac2P2Pd3 after structural relaxation at the PBE level of DFT.

Cell lengths 5.7556, 5.7556, 6.6217 Å; angles 102.89, 102.89, 45.55 degrees
With the nearest neighbours (Å) after each atom.
Element x y z (fractional)
Ac 0.1275 0.1275 0.2779  5 P 3.14-3.41, 7 Pd 3.15-3.44
Ac 0.8725 0.8725 0.7221  5 P 3.14-3.41, 7 Pd 3.15-3.44
P 0.1752 0.1752 0.7875  3 Pd 2.48-2.58
P 0.8248 0.8248 0.2125  3 Pd 2.48-2.58
Pd 0.3798 0.3798 0.0922  3 P 2.48-2.58, 1 Pd 2.69
Pd 0.5000 0.5000 0.5000  2 Pd 2.69
Pd 0.6202 0.6202 0.9078  3 P 2.48-2.58, 1 Pd 2.69

Results
VASP energy (eV/atom): -5.84
Volume (A^3/atom): 21.70
Crystal system: monoclinic
N(E_F) (states/eV per cell): 3.503



Entry 2:
Computed, not measured: Sn3BiPb7 after structural relaxation at the PBE level of DFT.

Cell lengths 7.0001, 7.0001, 8.3524 Å; angles 90.00, 90.00, 120.00 degrees
With the nearest neighbours (Å) after each atom.
Element x y z (fractional)
Sn 0.0240 0.5120 0.0000  2 Sn 3.25, 5 Pb 3.33-3.47, 1 Bi 3.49
Sn 0.4880 0.5120 0.0000  2 Sn 3.25, 5 Pb 3.33-3.47, 1 Bi 3.49
Sn 0.4880 0.9760 0.0000  2 Sn 3.25, 5 Pb 3.33-3.47, 1 Bi 3.49
Bi 0.3333 0.6667 0.3526  9 Pb 3.41-3.52, 3 Sn 3.49
Pb 0.1638 0.3275 0.6776  2 Sn 3.34, 1 Bi 3.41, 8 Pb 3.44-3.67
Pb 0.1638 0.8362 0.6776  2 Sn 3.34, 1 Bi 3.41, 8 Pb 3.44-3.67
Pb 0.3360 0.1680 0.3098  2 Sn 3.33, 7 Pb 3.47-3.67, 2 Bi 3.52
Pb 0.6667 0.3333 0.6752  3 Sn 3.47, 9 Pb 3.50-3.65
Pb 0.6725 0.8362 0.6776  2 Sn 3.34, 1 Bi 3.41, 8 Pb 3.44-3.67
Pb 0.8320 0.1680 0.3098  2 Sn 3.33, 7 Pb 3.47-3.67, 2 Bi 3.52
Pb 0.8320 0.6640 0.3098  2 Sn 3.33, 7 Pb 3.47-3.67, 2 Bi 3.52

Results
VASP energy (eV/atom): -3.74
Volume (A^3/atom): 32.22
Crystal system: trigonal
N(E_F) (states/eV per cell): 5.879



Entry 3:
Computed, not measured: Ba2TlGaN after structural relaxation at the PBE level of DFT.

Cell lengths 7.7174, 4.2929, 9.9210 Å; angles 90.00, 109.62, 90.00 degrees
With the nearest neighbours (Å) after each atom.
Element x y z (fractional)
Ba 0.1965 0.2500 0.4646  3 N 2.73-2.97
Ba 0.1969 0.2500 0.8718  2 N 2.93
Ba 0.8031 0.7500 0.1282  2 N 2.93
Ba 0.8035 0.7500 0.5354  3 N 2.73-2.97
Tl 0.3123 0.7500 0.1956  2 Ga 2.81
Tl 0.6877 0.2500 0.8044  2 Ga 2.81
Ga 0.4375 0.7500 0.7326  1 N 1.90
Ga 0.5625 0.2500 0.2674  1 N 1.90
N 0.1762 0.7500 0.6652  1 Ga 1.90
N 0.8238 0.2500 0.3348  1 Ga 1.90

Results
Volume (A^3/atom): 30.96
ΔE_f (raw) (eV per formula unit): -2.20
Crystal system: monoclinic
N(E_F) (states/eV per cell): 5.348



Entry 4:
Computed, not measured: CrGa3Pt12 after structural relaxation at the PBE level of DFT.

Cell lengths 3.9430, 3.9430, 15.7129 Å; angles 90.00, 90.00, 90.00 degrees
With the nearest neighbours (Å) after each atom.
Element x y z (fractional)
Cr 0.0000 0.0000 0.0000  12 Pt 2.76-2.79
Ga 0.0000 0.0000 0.2518  12 Pt 2.76-2.83
Ga 0.0000 0.0000 0.5000  12 Pt 2.79
Ga 0.0000 0.0000 0.7482  12 Pt 2.76-2.83
Pt 0.0000 0.5000 0.1225  8 Pt 2.76-2.79, 2 Cr 2.76, 2 Ga 2.83
Pt 0.0000 0.5000 0.3744  4 Ga 2.76-2.79, 8 Pt 2.79-2.80
Pt 0.0000 0.5000 0.6256  4 Ga 2.76-2.79, 8 Pt 2.79-2.80
Pt 0.0000 0.5000 0.8775  2 Cr 2.76, 8 Pt 2.76-2.79, 2 Ga 2.83
Pt 0.5000 0.0000 0.1225  8 Pt 2.76-2.79, 2 Cr 2.76, 2 Ga 2.83
Pt 0.5000 0.0000 0.3744  4 Ga 2.76-2.79, 8 Pt 2.79-2.80
Pt 0.5000 0.0000 0.6256  4 Ga 2.76-2.79, 8 Pt 2.79-2.80
Pt 0.5000 0.0000 0.8775  2 Cr 2.76, 8 Pt 2.76-2.79, 2 Ga 2.83
Pt 0.5000 0.5000 0.0000  8 Pt 2.76, 4 Cr 2.79
Pt 0.5000 0.5000 0.2483  4 Ga 2.79, 8 Pt 2.79-2.80
Pt 0.5000 0.5000 0.5000  4 Ga 2.79, 8 Pt 2.79
Pt 0.5000 0.5000 0.7517  4 Ga 2.79, 8 Pt 2.79-2.80

Results
VASP energy (eV/atom): -6.10
Volume (A^3/atom): 15.27
Crystal system: tetragonal
N(E_F) (states/eV per cell): 17.044



Q: What is the volume in the first record?
A: 21.70 A^3/atom



Q: What is the volume in the second record?
A: 32.22 A^3/atom



Q: Look up the N(E_F) of the first one.
A: 3.503 states/eV per cell



Repeat the second record exactly.
Computed, not measured: Sn3BiPb7 after structural relaxation at the PBE level of DFT.

Cell lengths 7.0001, 7.0001, 8.3524 Å; angles 90.00, 90.00, 120.00 degrees
With the nearest neighbours (Å) after each atom.
Element x y z (fractional)
Sn 0.0240 0.5120 0.0000  2 Sn 3.25, 5 Pb 3.33-3.47, 1 Bi 3.49
Sn 0.4880 0.5120 0.0000  2 Sn 3.25, 5 Pb 3.33-3.47, 1 Bi 3.49
Sn 0.4880 0.9760 0.0000  2 Sn 3.25, 5 Pb 3.33-3.47, 1 Bi 3.49
Bi 0.3333 0.6667 0.3526  9 Pb 3.41-3.52, 3 Sn 3.49
Pb 0.1638 0.3275 0.6776  2 Sn 3.34, 1 Bi 3.41, 8 Pb 3.44-3.67
Pb 0.1638 0.8362 0.6776  2 Sn 3.34, 1 Bi 3.41, 8 Pb 3.44-3.67
Pb 0.3360 0.1680 0.3098  2 Sn 3.33, 7 Pb 3.47-3.67, 2 Bi 3.52
Pb 0.6667 0.3333 0.6752  3 Sn 3.47, 9 Pb 3.50-3.65
Pb 0.6725 0.8362 0.6776  2 Sn 3.34, 1 Bi 3.41, 8 Pb 3.44-3.67
Pb 0.8320 0.1680 0.3098  2 Sn 3.33, 7 Pb 3.47-3.67, 2 Bi 3.52
Pb 0.8320 0.6640 0.3098  2 Sn 3.33, 7 Pb 3.47-3.67, 2 Bi 3.52

Results
VASP energy (eV/atom): -3.74
Volume (A^3/atom): 32.22
Crystal system: trigonal
N(E_F) (states/eV per cell): 5.879